The following is a DFT calculation (PBE-GGA) of a relaxed structure of Ba2SrTl.

Cell: 4.461 8.213 11.335 Å, 90.00 90.00 105.70°
Sites, in units of the cell vectors:
Tl (0.265, 0.530, 0.250)
Tl (0.735, 0.470, 0.750)
Ba (0.640, 0.279, 0.437)
Ba (0.360, 0.721, 0.563)
Ba (0.640, 0.279, 0.063)
Ba (0.360, 0.721, 0.937)
Sr (0.068, 0.135, 0.750)
Sr (0.932, 0.865, 0.250)

The value obtained for the offset from the most stable computed form is 10 meV/atom. As for the space group: P2_1/m, No. 11. The value obtained for the energy relative to the elements is -211 meV/atom. Its mass density is 4.7 g/cm³.